Here is a relaxed structure of TaNbMo from Alexandria via LeMat-Bulk. Energies are from PBEsol.

Cell and atoms, written as CIF:
```
data_TaNbMo
_cell_length_a 3.1993
_cell_length_b 4.6606
_cell_length_c 13.4861
_cell_angle_alpha 90.00
_cell_angle_beta 90.00
_cell_angle_gamma 90.00
_symmetry_space_group_name_H-M 'F m m 2'
_symmetry_Int_Tables_number 42
_symmetry_space_group_name_Hall 'F 2 -2'
loop_
_atom_site_label
_atom_site_type_symbol
_atom_site_fract_x
_atom_site_fract_y
_atom_site_fract_z
Ta1 Ta 0.0000 0.0000 0.0000
Nb1 Nb 0.0000 0.0000 0.3247
Mo1 Mo 0.0000 0.0000 0.6616
```

Values from the calculation:
The formation energy comes out at -0.06 eV/atom. As for the density of states at the Fermi level: 2.82 states/eV/f.u. As for the total magnetic moment: 0.001 Bohr magnetons per cell.